(1)
This record from the Alexandria database describes a relaxed structure of AcYTh2As4. The functional is PBE.

Lattice parameters (Å, degrees): 7.4396 4.2998 7.4478 90.00 109.50 90.00
Element x y z (fractional)
Ac 0.0000 0.0000 0.0000
Y 0.0000 0.5000 0.5000
Th 0.5000 0.0000 0.5000
Th 0.5000 0.5000 0.0000
As 0.2527 0.0000 0.7418
As 0.2604 0.5000 0.2629
As 0.7396 0.5000 0.7371
As 0.7473 0.0000 0.2582

* calculated volume: 28.1 Å³ per atom
* formation energy: -1429 meV/atom
* space-group type: P2/m (10)

---

(2)
This record from the Alexandria database describes a relaxed structure of Na2MgSn6. The functional is PBE.

Lattice parameters (Å, degrees): 8.8744 8.8744 8.8744 133.46 56.87 149.18
Element x y z (fractional)
Na 0.1115 0.0000 0.1115
Na 0.8885 0.0000 0.8885
Mg 0.0005 0.5005 0.5000
Sn 0.3041 0.2074 0.5126
Sn 0.3041 0.7915 0.0967
Sn 0.5003 0.2779 0.7776
Sn 0.5003 0.7228 0.2224
Sn 0.6948 0.2074 0.9033
Sn 0.6948 0.7915 0.4874

* calculated volume: 28.7 Å³ per atom
* formation energy: -92 meV/atom
* space-group type: Imm2 (44)

---

(3)
This record from the Alexandria database describes a relaxed structure of Si2BiN. The functional is PBE.

Lattice parameters (Å, degrees): 4.6459 4.6459 4.6459 60.00 60.00 60.00
Element x y z (fractional)
Si 0.2500 0.2500 0.2500
Si 0.7500 0.7500 0.7500
Bi 0.0000 0.0000 0.0000
N 0.5000 0.5000 0.5000

* formation energy from raw total energies: 6.16 eV/f.u.
* calculated volume: 17.7 Å³ per atom
* space-group type: Fm-3m (225)

---

calculated volume of number 1 (AcYTh2As4)?
28.1 Å³ per atom

---

What did the third record say?
This record from the Alexandria database describes a relaxed structure of Si2BiN. The functional is PBE.

Lattice parameters (Å, degrees): 4.6459 4.6459 4.6459 60.00 60.00 60.00
Element x y z (fractional)
Si 0.2500 0.2500 0.2500
Si 0.7500 0.7500 0.7500
Bi 0.0000 0.0000 0.0000
N 0.5000 0.5000 0.5000

* formation energy from raw total energies: 6.16 eV/f.u.
* calculated volume: 17.7 Å³ per atom
* space-group type: Fm-3m (225)

---

What is the calculated volume in the first record?
28.1 Å³ per atom